Record 1
BaCa2ZnSn | PBE-GGA | optimized geometry

Summary:
**Energy of formation from the pure elements**: -0.003 eV/atom
**Fermi-level density of states**: 0.918 states/eV per atom
**Size of the total moment**: 0.0 μB per formula unit
**Space-group type**: P4/mmm, No. 123

a = 5.981 Å, b = 6.779 Å, c = 5.981 Å
α = 90.00°, β = 90.00°, γ = 90.00°
Fractional coordinates of all 5 atoms:
Ba (0.000, 0.500, 0.000)
Ca (0.000, 0.000, 0.500)
Ca (0.500, 0.000, 0.000)
Zn (0.500, 0.500, 0.500)
Sn (0.000, 0.000, 0.000)


Record 2
TbHfCu2 | PBE-GGA | optimized geometry

Summary:
**Energy of formation from the pure elements**: -0.144 eV/atom
**Fermi-level density of states**: 1.205 states/eV per atom
**Size of the total moment**: 0.0 μB per formula unit
**ΔE to the lowest computed polymorph**: 0.00 eV per formula unit
**Space-group type**: P4/mmm, No. 123

a = 3.360 Å, b = 3.360 Å, c = 6.747 Å
α = 90.00°, β = 90.00°, γ = 90.00°
Fractional coordinates of all 4 atoms:
Cu (0.000, 0.000, 0.208)
Cu (0.000, 0.000, 0.792)
Hf (0.500, 0.500, 0.000)
Tb (0.500, 0.500, 0.500)


Record 3
AcSbOs | PBE-GGA | optimized geometry

Summary:
**Formation energy without anion corrections**: -0.018 eV/atom
**Fermi-level density of states**: 0.755 states/eV per atom
**Size of the total moment**: 0.0 μB per formula unit
**ΔE to the lowest computed polymorph**: 0.00 eV per formula unit
**Space-group type**: Fddd, No. 70

a = 7.380 Å, b = 7.380 Å, c = 7.593 Å
α = 108.80°, β = 108.80°, γ = 109.69°
Fractional coordinates of all 12 atoms:
Sb (0.134, 0.134, 0.268)
Sb (0.116, 0.616, 0.232)
Sb (0.866, 0.866, 0.732)
Sb (0.384, 0.884, 0.768)
Os (0.179, 0.821, 0.000)
Os (0.429, 0.571, 0.500)
Os (0.821, 0.179, 0.000)
Os (0.071, 0.929, 0.500)
Ac (0.625, 0.875, 0.250)
Ac (0.625, 0.375, 0.250)
Ac (0.625, 0.375, 0.750)
Ac (0.125, 0.375, 0.750)


Record 4
Na2CdH6Pd | PBE-GGA | optimized geometry

Summary:
**Calculated total energy**: -3.00 eV per atom
**Fermi-level density of states**: 0.205 states/eV per atom
**Size of the total moment**: 0.0 μB per formula unit
**Space-group type**: C2/m, No. 12

a = 5.361 Å, b = 5.361 Å, c = 5.361 Å
α = 120.13°, β = 120.13°, γ = 89.95°
Fractional coordinates of all 10 atoms:
H (0.230, 0.231, 0.460)
H (0.770, 0.770, 0.539)
H (0.231, 0.232, 0.002)
H (0.769, 0.231, 0.000)
H (0.768, 0.769, 0.998)
H (0.231, 0.769, 0.000)
Cd (0.500, 0.500, 0.000)
Na (0.250, 0.750, 0.500)
Na (0.750, 0.251, 0.500)
Pd (0.000, 0.000, 0.000)